(1)
# Ca2Sc2Ir | the Alexandria database | PBE-GGA | relaxed
data_Ca2Sc2Ir
_chemical_formula_sum 'Ca4 Sc4 Ir2'
_space_group_name_H-M_alt 'P 1'
_space_group_IT_number 1
_space_group_name_Hall 'P 1'
_cell_length_a 6.861
_cell_length_b 6.861
_cell_length_c 5.726
_cell_angle_alpha 90.00
_cell_angle_beta 90.00
_cell_angle_gamma 90.00
loop_
_atom_site_label
_atom_site_fract_x
_atom_site_fract_y
_atom_site_fract_z
_atom_site_occupancy
Ca1 0.182 0.318 0.000 1
Ca2 0.318 0.818 0.000 1
Ca3 0.682 0.182 0.000 1
Ca4 0.818 0.682 0.000 1
Sc1 0.162 0.662 0.500 1
Sc2 0.338 0.162 0.500 1
Sc3 0.662 0.838 0.500 1
Sc4 0.838 0.338 0.500 1
Ir1 0.000 0.000 0.500 1
Ir2 0.500 0.500 0.500 1
# Size of the total moment: 0.0 Bohr magnetons per cell
# Crystal system: tetragonal

=====

(2)
# CaScIr2 | the Alexandria database | PBE-GGA | relaxed
data_CaScIr2
_chemical_formula_sum 'Ca2 Sc2 Ir4'
_space_group_name_H-M_alt 'P 1'
_space_group_IT_number 1
_space_group_name_Hall 'P 1'
_cell_length_a 3.989
_cell_length_b 3.989
_cell_length_c 9.215
_cell_angle_alpha 90.00
_cell_angle_beta 90.00
_cell_angle_gamma 90.00
loop_
_atom_site_label
_atom_site_fract_x
_atom_site_fract_y
_atom_site_fract_z
_atom_site_occupancy
Ca1 0.000 0.000 0.000 1
Ca2 0.500 0.500 0.500 1
Sc1 0.000 0.500 0.250 1
Sc2 0.500 0.000 0.750 1
Ir1 0.000 0.000 0.500 1
Ir2 0.000 0.500 0.750 1
Ir3 0.500 0.000 0.250 1
Ir4 0.500 0.500 0.000 1
# Size of the total moment: 0.0 Bohr magnetons per cell
# Crystal system: tetragonal

=====

(3)
# Ca2ScIr | the Alexandria database | PBE-GGA | relaxed
data_Ca2ScIr
_chemical_formula_sum 'Ca2 Sc1 Ir1'
_space_group_name_H-M_alt 'P 1'
_space_group_IT_number 1
_space_group_name_Hall 'P 1'
_cell_length_a 3.404
_cell_length_b 3.374
_cell_length_c 9.355
_cell_angle_alpha 90.00
_cell_angle_beta 90.05
_cell_angle_gamma 90.00
loop_
_atom_site_label
_atom_site_fract_x
_atom_site_fract_y
_atom_site_fract_z
_atom_site_occupancy
Ca1 0.000 0.000 0.000 1
Ca2 0.499 0.500 0.352 1
Sc1 0.500 0.500 0.696 1
Ir1 0.000 0.000 0.558 1
# Size of the total moment: 0.0 Bohr magnetons per cell
# Crystal system: monoclinic

=====

(4)
# Ca2ScIr | the Alexandria database | PBE-GGA | relaxed
data_Ca2ScIr
_chemical_formula_sum 'Ca4 Sc2 Ir2'
_space_group_name_H-M_alt 'P 1'
_space_group_IT_number 1
_space_group_name_Hall 'P 1'
_cell_length_a 3.634
_cell_length_b 5.505
_cell_length_c 10.633
_cell_angle_alpha 90.00
_cell_angle_beta 90.00
_cell_angle_gamma 90.00
loop_
_atom_site_label
_atom_site_fract_x
_atom_site_fract_y
_atom_site_fract_z
_atom_site_occupancy
Ca1 0.000 0.000 0.000 1
Ca2 0.000 0.500 0.193 1
Ca3 0.500 0.000 0.693 1
Ca4 0.500 0.500 0.500 1
Sc1 0.000 0.000 0.379 1
Sc2 0.500 0.500 0.879 1
Ir1 0.000 0.500 0.715 1
Ir2 0.500 0.000 0.215 1
# Size of the total moment: 0.0 Bohr magnetons per cell
# Crystal system: orthorhombic

=====

(5)
# CaSc4Ir5 | the Alexandria database | PBE-GGA | relaxed
data_CaSc4Ir5
_chemical_formula_sum 'Ca1 Sc4 Ir5'
_space_group_name_H-M_alt 'P 1'
_space_group_IT_number 1
_space_group_name_Hall 'P 1'
_cell_length_a 3.190
_cell_length_b 3.190
_cell_length_c 17.151
_cell_angle_alpha 90.00
_cell_angle_beta 90.00
_cell_angle_gamma 90.00
loop_
_atom_site_label
_atom_site_fract_x
_atom_site_fract_y
_atom_site_fract_z
_atom_site_occupancy
Ca1 0.000 0.000 0.000 1
Sc1 0.000 0.000 0.207 1
Sc2 0.000 0.000 0.403 1
Sc3 0.000 0.000 0.597 1
Sc4 0.000 0.000 0.793 1
Ir1 0.500 0.500 0.119 1
Ir2 0.500 0.500 0.307 1
Ir3 0.500 0.500 0.500 1
Ir4 0.500 0.500 0.693 1
Ir5 0.500 0.500 0.881 1
# Size of the total moment: 0.0 Bohr magnetons per cell
# Crystal system: tetragonal

=====

(6)
# Ca2ScIr | the Alexandria database | PBE-GGA | relaxed
data_Ca2ScIr
_chemical_formula_sum 'Ca2 Sc1 Ir1'
_space_group_name_H-M_alt 'P 1'
_space_group_IT_number 1
_space_group_name_Hall 'P 1'
_cell_length_a 3.429
_cell_length_b 4.648
_cell_length_c 6.164
_cell_angle_alpha 90.00
_cell_angle_beta 100.79
_cell_angle_gamma 90.00
loop_
_atom_site_label
_atom_site_fract_x
_atom_site_fract_y
_atom_site_fract_z
_atom_site_occupancy
Ca1 0.087 0.000 0.278 1
Ca2 0.913 0.000 0.722 1
Sc1 0.500 0.500 0.000 1
Ir1 0.500 0.500 0.500 1
# Size of the total moment: 0.4 Bohr magnetons per cell
# Crystal system: monoclinic

=====

(7)
# Ca2ScIr | the Alexandria database | PBE-GGA | relaxed
data_Ca2ScIr
_chemical_formula_sum 'Ca8 Sc4 Ir4'
_space_group_name_H-M_alt 'P 1'
_space_group_IT_number 1
_space_group_name_Hall 'P 1'
_cell_length_a 7.188
_cell_length_b 7.188
_cell_length_c 7.188
_cell_angle_alpha 90.00
_cell_angle_beta 90.00
_cell_angle_gamma 90.00
loop_
_atom_site_label
_atom_site_fract_x
_atom_site_fract_y
_atom_site_fract_z
_atom_site_occupancy
Ca1 0.250 0.250 0.250 1
Ca2 0.250 0.250 0.750 1
Ca3 0.250 0.750 0.250 1
Ca4 0.250 0.750 0.750 1
Ca5 0.750 0.250 0.250 1
Ca6 0.750 0.250 0.750 1
Ca7 0.750 0.750 0.250 1
Ca8 0.750 0.750 0.750 1
Sc1 0.000 0.000 0.000 1
Sc2 0.000 0.500 0.500 1
Sc3 0.500 0.000 0.500 1
Sc4 0.500 0.500 0.000 1
Ir1 0.000 0.000 0.500 1
Ir2 0.000 0.500 0.000 1
Ir3 0.500 0.000 0.000 1
Ir4 0.500 0.500 0.500 1
# Size of the total moment: 0.0 Bohr magnetons per cell
# Crystal system: cubic

=====

(8)
# Ca2ScIr | the Alexandria database | PBE-GGA | relaxed
data_Ca2ScIr
_chemical_formula_sum 'Ca6 Sc3 Ir3'
_space_group_name_H-M_alt 'P 1'
_space_group_IT_number 1
_space_group_name_Hall 'P 1'
_cell_length_a 4.450
_cell_length_b 4.450
_cell_length_c 21.237
_cell_angle_alpha 90.00
_cell_angle_beta 90.00
_cell_angle_gamma 120.00
loop_
_atom_site_label
_atom_site_fract_x
_atom_site_fract_y
_atom_site_fract_z
_atom_site_occupancy
Ca1 0.000 0.000 0.000 1
Ca2 0.000 0.000 0.191 1
Ca3 0.333 0.667 0.667 1
Ca4 0.333 0.667 0.858 1
Ca5 0.667 0.333 0.333 1
Ca6 0.667 0.333 0.524 1
Sc1 0.000 0.000 0.762 1
Sc2 0.333 0.667 0.429 1
Sc3 0.667 0.333 0.096 1
Ir1 0.000 0.000 0.426 1
Ir2 0.333 0.667 0.093 1
Ir3 0.667 0.333 0.759 1
# Size of the total moment: 0.0 Bohr magnetons per cell
# Crystal system: trigonal

=====

(9)
# Ca2ScIr | the Alexandria database | PBE-GGA | relaxed
data_Ca2ScIr
_chemical_formula_sum 'Ca4 Sc2 Ir2'
_space_group_name_H-M_alt 'P 1'
_space_group_IT_number 1
_space_group_name_Hall 'P 1'
_cell_length_a 8.882
_cell_length_b 3.763
_cell_length_c 7.861
_cell_angle_alpha 90.00
_cell_angle_beta 108.22
_cell_angle_gamma 90.00
loop_
_atom_site_label
_atom_site_fract_x
_atom_site_fract_y
_atom_site_fract_z
_atom_site_occupancy
Ca1 0.000 0.000 0.000 1
Ca2 0.162 0.000 0.588 1
Ca3 0.500 0.500 0.000 1
Ca4 0.662 0.500 0.588 1
Sc1 0.305 0.500 0.294 1
Sc2 0.805 0.000 0.294 1
Ir1 0.009 0.500 0.293 1
Ir2 0.509 0.000 0.293 1
# Size of the total moment: 0.0 Bohr magnetons per cell
# Crystal system: monoclinic

=====

(10)
# CaSc4Ir | the Alexandria database | PBE-GGA | relaxed
data_CaSc4Ir
_chemical_formula_sum 'Ca1 Sc4 Ir1'
_space_group_name_H-M_alt 'P 1'
_space_group_IT_number 1
_space_group_name_Hall 'P 1'
_cell_length_a 5.796
_cell_length_b 5.796
_cell_length_c 5.796
_cell_angle_alpha 60.00
_cell_angle_beta 60.00
_cell_angle_gamma 60.00
loop_
_atom_site_label
_atom_site_fract_x
_atom_site_fract_y
_atom_site_fract_z
_atom_site_occupancy
Ca1 0.000 0.000 0.000 1
Sc1 0.378 0.378 0.378 1
Sc2 0.378 0.378 0.867 1
Sc3 0.378 0.867 0.378 1
Sc4 0.867 0.378 0.378 1
Ir1 0.750 0.750 0.750 1
# Size of the total moment: 1.2 Bohr magnetons per cell
# Crystal system: cubic

=====

(11)
# Ca2ScIr | the Alexandria database | PBE-GGA | relaxed
data_Ca2ScIr
_chemical_formula_sum 'Ca2 Sc1 Ir1'
_space_group_name_H-M_alt 'P 1'
_space_group_IT_number 1
_space_group_name_Hall 'P 1'
_cell_length_a 4.311
_cell_length_b 4.311
_cell_length_c 4.972
_cell_angle_alpha 90.00
_cell_angle_beta 90.00
_cell_angle_gamma 90.00
loop_
_atom_site_label
_atom_site_fract_x
_atom_site_fract_y
_atom_site_fract_z
_atom_site_occupancy
Ca1 0.000 0.500 0.000 1
Ca2 0.500 0.000 0.000 1
Sc1 0.000 0.000 0.500 1
Ir1 0.500 0.500 0.500 1
# Size of the total moment: 0.0 Bohr magnetons per cell
# Crystal system: tetragonal

=====

(12)
# CaScIr2 | the Alexandria database | PBE-GGA | relaxed
data_CaScIr2
_chemical_formula_sum 'Ca1 Sc1 Ir2'
_space_group_name_H-M_alt 'P 1'
_space_group_IT_number 1
_space_group_name_Hall 'P 1'
_cell_length_a 3.561
_cell_length_b 3.561
_cell_length_c 6.373
_cell_angle_alpha 90.00
_cell_angle_beta 90.00
_cell_angle_gamma 90.00
loop_
_atom_site_label
_atom_site_fract_x
_atom_site_fract_y
_atom_site_fract_z
_atom_site_occupancy
Ca1 0.000 0.000 0.000 1
Sc1 0.500 0.500 0.626 1
Ir1 0.000 0.000 0.483 1
Ir2 0.500 0.500 0.223 1
# Size of the total moment: 0.0 Bohr magnetons per cell
# Crystal system: tetragonal

=====

(13)
# Ca2ScIr | the Alexandria database | PBE-GGA | relaxed
data_Ca2ScIr
_chemical_formula_sum 'Ca4 Sc2 Ir2'
_space_group_name_H-M_alt 'P 1'
_space_group_IT_number 1
_space_group_name_Hall 'P 1'
_cell_length_a 4.250
_cell_length_b 4.250
_cell_length_c 10.222
_cell_angle_alpha 90.00
_cell_angle_beta 90.00
_cell_angle_gamma 90.00
loop_
_atom_site_label
_atom_site_fract_x
_atom_site_fract_y
_atom_site_fract_z
_atom_site_occupancy
Ca1 0.000 0.500 0.250 1
Ca2 0.000 0.500 0.750 1
Ca3 0.500 0.000 0.250 1
Ca4 0.500 0.000 0.750 1
Sc1 0.000 0.000 0.000 1
Sc2 0.500 0.500 0.500 1
Ir1 0.000 0.000 0.500 1
Ir2 0.500 0.500 0.000 1
# Size of the total moment: 0.0 Bohr magnetons per cell
# Crystal system: tetragonal

=====

(14)
# CaScIr4 | the Alexandria database | PBE-GGA | relaxed
data_CaScIr4
_chemical_formula_sum 'Ca1 Sc1 Ir4'
_space_group_name_H-M_alt 'P 1'
_space_group_IT_number 1
_space_group_name_Hall 'P 1'
_cell_length_a 5.299
_cell_length_b 5.299
_cell_length_c 5.299
_cell_angle_alpha 60.00
_cell_angle_beta 60.00
_cell_angle_gamma 60.00
loop_
_atom_site_label
_atom_site_fract_x
_atom_site_fract_y
_atom_site_fract_z
_atom_site_occupancy
Ca1 0.000 0.000 0.000 1
Sc1 0.750 0.750 0.750 1
Ir1 0.375 0.375 0.375 1
Ir2 0.375 0.375 0.875 1
Ir3 0.375 0.875 0.375 1
Ir4 0.875 0.375 0.375 1
# Size of the total moment: 0.0 Bohr magnetons per cell
# Crystal system: cubic

=====

The calculation returns the following raw total energy values, one per record and in order: -5.27 -6.78 -5.14 -5.07 -8.02 -4.71 -4.69 -5.07 -5.09 -5.68 -4.81 -6.56 -4.78 -7.88 eV/atom.